w | Computed, not measured: a relaxed structure of CsNpI4 at the GGA-PBE level of DFT.

Lattice parameters (Å, degrees): 10.334 10.334 7.976 107.44 107.44 112.68
Fractional coordinates of all 12 atoms:
1 Cs 0.147 0.853 0.750
2 Cs 0.853 0.147 0.250
3 Np 0.424 0.576 0.250
4 Np 0.576 0.424 0.750
5 I 0.140 0.543 0.310
6 I 0.257 0.350 0.789
7 I 0.350 0.257 0.289
8 I 0.457 0.860 0.190
9 I 0.543 0.140 0.810
10 I 0.650 0.743 0.711
11 I 0.743 0.650 0.211
12 I 0.860 0.457 0.690

Results
Space-group type   No. 15
Volume   55.10 Å³ per atom

=====

x | Computed, not measured: a relaxed structure of CsNpI4 at the GGA-PBE level of DFT.

Lattice parameters (Å, degrees): 9.772 9.772 7.584 90.00 90.00 90.00
Fractional coordinates of all 12 atoms:
1 Cs 0.000 0.000 0.000
2 Cs 0.500 0.500 0.500
3 Np 0.000 0.500 0.750
4 Np 0.500 0.000 0.250
5 I 0.147 0.295 0.532
6 I 0.205 0.647 0.968
7 I 0.295 0.853 0.468
8 I 0.353 0.205 0.032
9 I 0.647 0.795 0.032
10 I 0.705 0.147 0.468
11 I 0.795 0.353 0.968
12 I 0.853 0.705 0.532

Results
Space-group type   No. 82
Volume   60.35 Å³ per atom

=====

Of them, the most stable is w and the least stable is x.

=====

w | Computed, not measured: a relaxed structure of Cs3NpI6 at the GGA-PBE level of DFT.

Lattice parameters (Å, degrees): 9.027 9.713 15.488 90.00 123.08 90.00
Fractional coordinates of all 20 atoms:
1 Cs 0.000 0.000 0.000
2 Cs 0.000 0.500 0.500
3 Cs 0.211 0.076 0.741
4 Cs 0.211 0.424 0.241
5 Cs 0.789 0.576 0.759
6 Cs 0.789 0.924 0.259
7 Np 0.500 0.000 0.500
8 Np 0.500 0.500 0.000
9 I 0.169 0.172 0.450
10 I 0.169 0.328 0.950
11 I 0.263 0.734 0.425
12 I 0.263 0.766 0.925
13 I 0.397 0.052 0.275
14 I 0.397 0.448 0.775
15 I 0.603 0.552 0.225
16 I 0.603 0.948 0.725
17 I 0.737 0.234 0.075
18 I 0.737 0.266 0.575
19 I 0.831 0.672 0.050
20 I 0.831 0.828 0.550

Results
Space-group type   No. 14
Volume   56.90 Å³ per atom

=====

x | Computed, not measured: a relaxed structure of Cs3NpI6 at the GGA-PBE level of DFT.

Lattice parameters (Å, degrees): 10.620 9.868 8.805 69.05 60.20 50.74
Fractional coordinates of all 10 atoms:
1 Cs 0.000 0.000 0.000
2 Cs 0.250 0.250 0.250
3 Cs 0.750 0.750 0.750
4 Np 0.500 0.500 0.500
5 I 0.164 0.573 0.836
6 I 0.272 0.728 0.272
7 I 0.427 0.836 0.573
8 I 0.573 0.164 0.427
9 I 0.728 0.272 0.728
10 I 0.836 0.427 0.164

Results
Space-group type   No. 69
Volume   61.87 Å³ per atom

=====

Of them, the most stable is w and the least stable is x.

=====

w | Computed, not measured: a relaxed structure of CsI2O6 at the GGA-PBE level of DFT.

Lattice parameters (Å, degrees): 7.931 7.931 8.299 120.69 120.69 54.15
Fractional coordinates of all 18 atoms:
1 Cs 0.033 0.967 0.750
2 Cs 0.967 0.033 0.250
3 I 0.339 0.357 0.874
4 I 0.357 0.339 0.374
5 I 0.643 0.661 0.626
6 I 0.661 0.643 0.126
7 O 0.068 0.363 0.752
8 O 0.272 0.649 0.992
9 O 0.280 0.425 0.590
10 O 0.351 0.728 0.508
11 O 0.363 0.068 0.252
12 O 0.425 0.280 0.090
13 O 0.575 0.720 0.910
14 O 0.637 0.932 0.748
15 O 0.649 0.272 0.492
16 O 0.720 0.575 0.410
17 O 0.728 0.351 0.008
18 O 0.932 0.637 0.248

Results
Space-group type   No. 15
Volume   19.26 Å³ per atom

=====

x | Computed, not measured: a relaxed structure of CsI2O6 at the GGA-PBE level of DFT.

Lattice parameters (Å, degrees): 5.998 5.998 9.119 110.99 110.99 38.78
Fractional coordinates of all 9 atoms:
1 Cs 0.000 0.000 0.000
2 I 0.166 0.166 0.626
3 I 0.834 0.834 0.374
4 O 0.021 0.021 0.668
5 O 0.286 0.286 0.824
6 O 0.323 0.323 0.425
7 O 0.677 0.677 0.575
8 O 0.714 0.714 0.176
9 O 0.979 0.979 0.332

Results
Space-group type   No. 12
Volume   21.12 Å³ per atom

=====

Of them, the most stable is w and the least stable is x.

=====

w | Computed, not measured: a relaxed structure of Cs2IO at the GGA-PBE level of DFT.

Lattice parameters (Å, degrees): 8.689 8.689 9.861 90.00 90.00 90.00
Fractional coordinates of all 16 atoms:
1 Cs 0.156 0.250 0.125
2 Cs 0.250 0.656 0.375
3 Cs 0.250 0.844 0.875
4 Cs 0.344 0.250 0.625
5 Cs 0.656 0.750 0.625
6 Cs 0.750 0.156 0.875
7 Cs 0.750 0.344 0.375
8 Cs 0.844 0.750 0.125
9 I 0.000 0.000 0.500
10 I 0.000 0.500 0.750
11 I 0.500 0.000 0.250
12 I 0.500 0.500 0.000
13 O 0.000 0.000 0.000
14 O 0.000 0.500 0.250
15 O 0.500 0.000 0.750
16 O 0.500 0.500 0.500

Results
Space-group type   No. 122
Volume   46.53 Å³ per atom

=====

x | Computed, not measured: a relaxed structure of Cs2IO at the GGA-PBE level of DFT.

Lattice parameters (Å, degrees): 8.745 8.745 8.745 90.00 90.00 90.00
Fractional coordinates of all 16 atoms:
1 Cs 0.250 0.250 0.250
2 Cs 0.250 0.250 0.750
3 Cs 0.250 0.750 0.250
4 Cs 0.250 0.750 0.750
5 Cs 0.750 0.250 0.250
6 Cs 0.750 0.250 0.750
7 Cs 0.750 0.750 0.250
8 Cs 0.750 0.750 0.750
9 I 0.000 0.000 0.000
10 I 0.000 0.500 0.500
11 I 0.500 0.000 0.500
12 I 0.500 0.500 0.000
13 O 0.000 0.000 0.500
14 O 0.000 0.500 0.000
15 O 0.500 0.000 0.000
16 O 0.500 0.500 0.500

Results
Space-group type   No. 225
Volume   41.80 Å³ per atom

=====

Of them, the most stable is w and the least stable is x.

=====

w | Computed, not measured: a relaxed structure of CsI2O at the GGA-PBE level of DFT.

Lattice parameters (Å, degrees): 7.684 7.684 10.988 90.00 90.00 90.00
Fractional coordinates of all 16 atoms:
1 Cs 0.000 0.250 0.375
2 Cs 0.000 0.750 0.625
3 Cs 0.500 0.250 0.125
4 Cs 0.500 0.750 0.875
5 I 0.000 0.000 0.000
6 I 0.000 0.500 0.000
7 I 0.250 0.250 0.750
8 I 0.250 0.750 0.250
9 I 0.500 0.000 0.500
10 I 0.500 0.500 0.500
11 I 0.750 0.250 0.750
12 I 0.750 0.750 0.250
13 O 0.000 0.250 0.875
14 O 0.000 0.750 0.125
15 O 0.500 0.250 0.625
16 O 0.500 0.750 0.375

Results
Space-group type   No. 141
Volume   40.55 Å³ per atom

=====

x | Computed, not measured: a relaxed structure of CsI2O at the GGA-PBE level of DFT.

Lattice parameters (Å, degrees): 8.633 8.633 8.633 90.00 90.00 90.00
Fractional coordinates of all 16 atoms:
1 Cs 0.000 0.000 0.000
2 Cs 0.000 0.500 0.500
3 Cs 0.500 0.000 0.500
4 Cs 0.500 0.500 0.000
5 I 0.250 0.250 0.250
6 I 0.250 0.250 0.750
7 I 0.250 0.750 0.250
8 I 0.250 0.750 0.750
9 I 0.750 0.250 0.250
10 I 0.750 0.250 0.750
11 I 0.750 0.750 0.250
12 I 0.750 0.750 0.750
13 O 0.000 0.000 0.500
14 O 0.000 0.500 0.000
15 O 0.500 0.000 0.000
16 O 0.500 0.500 0.500

Results
Space-group type   No. 225
Volume   40.22 Å³ per atom

=====

Of them, the most stable is w and the least stable is x.

=====

w | Computed, not measured: a relaxed structure of CsOsIO2 at the GGA-PBE level of DFT.

Lattice parameters (Å, degrees): 4.351 4.351 5.495 90.00 90.00 90.00
Fractional coordinates of all 5 atoms:
1 Cs 0.000 0.000 0.000
2 Os 0.500 0.500 0.500
3 I 0.500 0.500 0.000
4 O 0.000 0.500 0.500
5 O 0.500 0.000 0.500

Results
Space-group type   No. 123
Volume   20.81 Å³ per atom

=====

x | Computed, not measured: a relaxed structure of CsOsIO2 at the GGA-PBE level of DFT.

Lattice parameters (Å, degrees): 4.220 4.220 7.773 90.00 90.00 90.00
Fractional coordinates of all 5 atoms:
1 Cs 0.000 0.000 0.000
2 Os 0.500 0.500 0.500
3 I 0.000 0.000 0.500
4 O 0.000 0.500 0.000
5 O 0.500 0.000 0.000

Results
Space-group type   No. 123
Volume   27.69 Å³ per atom

=====

Of them, the most stable is w and the least stable is x.